(1)
Below is a geometry-optimized RbH3Cl structure, with properties calculated at the PBE level.

abc: 5.178 10.532 12.907
angles: 90.00 22.43 90.00
Each line ends with the local moment (μB).
Fractional coordinates of all 10 atoms:
Rb  0.860  0.750  0.173  0.01
Rb  0.140  0.250  0.827  0.01
H  0.376  0.025  0.036  0.00
H  0.624  0.975  0.964  0.00
H  0.376  0.475  0.036  0.00
H  0.624  0.525  0.964  0.00
H  0.515  0.750  0.530  0.30
H  0.485  0.250  0.470  0.30
Cl  0.259  0.750  0.786  0.16
Cl  0.741  0.250  0.214  0.16

Values from the calculation:
For the energy above the lowest structure with this stoichiometry, the calculation gives 0.0 meV per atom.


(2)
Below is a geometry-optimized Rb4H2Cl structure, with properties calculated at the PBE level.

abc: 6.240 6.240 8.970
angles: 69.65 69.65 90.00
Fractional coordinates of all 7 atoms:
H  0.603  0.603  0.794
H  0.397  0.397  0.206
Rb  0.776  0.776  0.447
Rb  0.224  0.224  0.553
Rb  0.000  0.500  0.000
Rb  0.500  0.000  0.000
Cl  0.000  0.000  0.000

Values from the calculation:
As for the energy: -2.20 eV/atom. Its density of states at the Fermi level is 0.4098 states/eV/atom.


(3)
Below is a geometry-optimized RbH6Cl2 structure, with properties calculated at the PBE level.

abc: 6.160 5.802 5.802
angles: 59.13 57.92 57.92
Fractional coordinates of all 9 atoms:
Rb  0.000  0.000  0.000
H  0.391  0.824  0.394
H  0.609  0.176  0.606
H  0.609  0.606  0.176
H  0.500  0.344  0.656
H  0.500  0.656  0.344
H  0.391  0.394  0.824
Cl  0.270  0.230  0.230
Cl  0.730  0.770  0.770

Values from the calculation:
As for the energy: -2.85 eV/atom. Its density of states at the Fermi level is 0.2538 states/eV/atom.


(4)
Below is a geometry-optimized RbHCl structure, with properties calculated at the PBE level.

abc: 5.763 5.765 8.352
angles: 90.00 90.00 90.00
Fractional coordinates of all 12 atoms:
H  0.750  0.251  0.498
H  0.250  0.751  0.002
H  0.250  0.749  0.502
H  0.750  0.249  0.998
Rb  0.750  0.750  0.500
Rb  0.250  0.250  0.000
Rb  0.250  0.250  0.500
Rb  0.750  0.750  0.000
Cl  0.750  0.250  0.749
Cl  0.250  0.750  0.751
Cl  0.250  0.750  0.251
Cl  0.750  0.250  0.249

Values from the calculation:
For the energy above the lowest structure with this stoichiometry, the calculation gives 675.8 meV per atom.


(5)
Below is a geometry-optimized RbHCl structure, with properties calculated at the PBE level.

abc: 4.655 9.300 8.714
angles: 91.11 90.00 90.00
Fractional coordinates of all 12 atoms:
Rb  0.748  0.372  0.309
Rb  0.248  0.128  0.691
Rb  0.252  0.628  0.691
Rb  0.752  0.872  0.309
H  0.540  0.981  0.968
H  0.040  0.519  0.032
H  0.460  0.019  0.032
H  0.960  0.481  0.968
Cl  0.747  0.376  0.688
Cl  0.247  0.124  0.312
Cl  0.253  0.624  0.312
Cl  0.753  0.876  0.688

Values from the calculation:
For the energy above the lowest structure with this stoichiometry, the calculation gives 0.0 meV per atom. Its density of states at the Fermi level is 0.0000 states/eV/atom.


(6)
Below is a geometry-optimized Rb3HCl2 structure, with properties calculated at the PBE level.

abc: 4.651 4.651 10.285
angles: 103.07 103.07 90.00
Fractional coordinates of all 6 atoms:
Rb  0.934  0.936  0.874
Rb  0.274  0.275  0.553
Rb  0.595  0.596  0.195
H  0.434  0.436  0.874
Cl  0.101  0.102  0.207
Cl  0.768  0.769  0.541

Values from the calculation:
As for the energy: -3.00 eV/atom. Its density of states at the Fermi level is 0.0000 states/eV/atom.


(7)
Below is a geometry-optimized RbH3Cl structure, with properties calculated at the PBE level.

abc: 4.188 4.188 4.188
angles: 90.00 90.00 90.00
Fractional coordinates of all 5 atoms:
H  0.000  0.500  0.000
H  0.000  0.000  0.500
H  0.500  0.000  0.000
Rb  0.500  0.500  0.500
Cl  0.000  0.000  0.000

Values from the calculation:
For the energy above the lowest structure with this stoichiometry, the calculation gives 806.6 meV per atom. Its density of states at the Fermi level is 0.1962 states/eV/atom.


(8)
Below is a geometry-optimized RbH2Cl8 structure, with properties calculated at the PBE level.

abc: 8.419 6.186 18.238
angles: 125.43 146.72 52.57
Each line ends with the local moment (μB).
Fractional coordinates of all 11 atoms:
Rb  0.500  0.000  0.000  0.00
H  0.691  0.532  0.334  0.00
H  0.309  0.468  0.666  0.00
Cl  0.171  0.139  0.213  0.02
Cl  0.428  0.016  0.605  0.00
Cl  0.669  0.331  0.983  0.37
Cl  0.762  0.262  0.307  0.00
Cl  0.238  0.738  0.693  0.00
Cl  0.331  0.669  0.017  0.37
Cl  0.572  0.984  0.395  0.00
Cl  0.829  0.861  0.787  0.02

Values from the calculation:
As for the energy: -2.54 eV/atom.


(9)
Below is a geometry-optimized RbHCl structure, with properties calculated at the PBE level.

abc: 4.240 4.902 8.203
angles: 90.02 75.03 90.00
Fractional coordinates of all 6 atoms:
Rb  0.167  0.530  0.949
Rb  0.939  0.030  0.404
H  0.291  0.108  0.699
H  0.290  0.954  0.700
Cl  0.611  0.030  0.059
Cl  0.387  0.530  0.509

Values from the calculation:
For the energy above the lowest structure with this stoichiometry, the calculation gives 39.8 meV per atom. Its density of states at the Fermi level is 0.0000 states/eV/atom.


(10)
Below is a geometry-optimized Rb4H12Cl structure, with properties calculated at the PBE level.

abc: 8.077 8.077 8.077
angles: 109.47 109.47 109.47
Fractional coordinates of all 17 atoms:
Rb  0.000  0.500  0.000
Rb  0.000  0.000  0.500
Rb  0.500  0.000  0.000
Rb  0.500  0.500  0.500
H  0.671  0.130  0.542
H  0.870  0.458  0.329
H  0.458  0.588  0.130
H  0.130  0.458  0.588
H  0.542  0.412  0.870
H  0.130  0.542  0.671
H  0.542  0.671  0.130
H  0.458  0.329  0.870
H  0.870  0.542  0.412
H  0.588  0.130  0.458
H  0.412  0.870  0.542
H  0.329  0.870  0.458
Cl  0.000  0.000  0.000

Values from the calculation:
As for the energy: -2.80 eV/atom. Its density of states at the Fermi level is 0.2310 states/eV/atom.


(11)
Below is a geometry-optimized RbH3Cl3 structure, with properties calculated at the PBE level.

abc: 7.523 7.523 7.417
angles: 59.53 59.53 60.00
Fractional coordinates of all 14 atoms:
Rb  0.249  0.249  0.254
Rb  0.751  0.751  0.746
H  0.594  0.629  0.387
H  0.629  0.390  0.387
H  0.390  0.594  0.387
H  0.610  0.406  0.613
H  0.371  0.610  0.613
H  0.406  0.371  0.613
Cl  0.256  0.709  0.251
Cl  0.785  0.256  0.251
Cl  0.709  0.785  0.251
Cl  0.291  0.215  0.749
Cl  0.215  0.744  0.749
Cl  0.744  0.291  0.749

Values from the calculation:
As for the energy: -3.03 eV/atom. Its density of states at the Fermi level is 0.0000 states/eV/atom.


(12)
Below is a geometry-optimized Rb5H4Cl structure, with properties calculated at the PBE level.

abc: 4.346 6.290 11.571
angles: 105.77 100.82 90.00
Fractional coordinates of all 10 atoms:
Rb  0.611  0.111  0.223
Rb  0.801  0.301  0.602
Rb  0.199  0.699  0.398
Rb  0.000  0.500  0.000
Rb  0.389  0.889  0.777
H  0.397  0.397  0.793
H  0.796  0.796  0.592
H  0.204  0.204  0.408
H  0.603  0.603  0.207
Cl  0.000  0.000  0.000

Values from the calculation:
As for the energy: -2.52 eV/atom. Its density of states at the Fermi level is 0.0000 states/eV/atom.